[1]
The following is a DFT calculation (PBE) of crystalline FeW2 at its relaxed geometry.

Structure (POSCAR):
```
FeW2
1.0
-1.369 1.369 11.806
1.369 -1.369 11.806
1.369 1.369 -11.806
Fe W
2 4
Direct
0.375 0.625 0.750 Fe
0.625 0.375 0.250 Fe
0.051 0.801 0.250 W
0.199 0.949 0.250 W
0.801 0.051 0.750 W
0.949 0.199 0.750 W
```

## Properties
As for the energy above the most stable polymorph in this dataset: 98 kJ/mol of formula units. The total magnetization is 0.000 μB per formula unit. The value obtained for the theoretical density is 15.90 g/cm³. The value obtained for the formation enthalpy at 0 K is 0.404 eV per atom.

[2]
The following is a DFT calculation (PBE) of crystalline Fe2W3 at its relaxed geometry.

Structure (POSCAR):
```
Fe2W3
1.0
4.092 0.000 0.000
-2.046 3.544 0.000
0.000 0.000 5.175
Fe W
2 3
Direct
0.333 0.667 0.357 Fe
0.667 0.333 0.643 Fe
0.000 0.000 0.500 W
0.333 0.667 0.865 W
0.667 0.333 0.135 W
```

## Properties
As for the energy above the most stable polymorph in this dataset: 105 kJ/mol of formula units. The total magnetization is 1.355 μB per formula unit. The value obtained for the theoretical density is 14.67 g/cm³. The value obtained for the formation enthalpy at 0 K is 0.508 eV per atom.

[3]
The following is a DFT calculation (PBE) of crystalline Fe3W at its relaxed geometry.

Structure (POSCAR):
```
Fe3W
1.0
4.557 0.000 0.000
0.000 4.557 0.000
0.000 0.000 4.557
Fe W
3 1
Direct
0.000 0.000 0.500 Fe
0.000 0.500 0.000 Fe
0.500 0.000 0.000 Fe
0.000 0.000 0.000 W
```

## Properties
The total magnetization is 5.205 μB per formula unit. The value obtained for the theoretical density is 6.17 g/cm³. The value obtained for the formation enthalpy at 0 K is 2.209 eV per atom.

[4]
The following is a DFT calculation (PBE) of crystalline Fe3W at its relaxed geometry.

Structure (POSCAR):
```
Fe3W
1.0
4.268 -1.308 0.000
4.268 1.308 0.000
-0.819 0.000 4.355
Fe W
3 1
Direct
0.000 0.000 0.000 Fe
0.259 0.259 0.769 Fe
0.741 0.741 0.231 Fe
0.500 0.500 0.500 W
```

## Properties
The total magnetization is 2.492 μB per formula unit. The value obtained for the theoretical density is 12.00 g/cm³. The value obtained for the formation enthalpy at 0 K is 0.207 eV per atom.

[5]
The following is a DFT calculation (PBE) of crystalline Fe3W at its relaxed geometry.

Structure (POSCAR):
```
Fe3W
1.0
5.124 0.000 0.000
-2.562 4.438 0.000
0.000 0.000 4.130
Fe W
6 2
Direct
0.161 0.321 0.250 Fe
0.161 0.839 0.250 Fe
0.321 0.161 0.750 Fe
0.679 0.839 0.250 Fe
0.839 0.161 0.750 Fe
0.839 0.679 0.750 Fe
0.333 0.667 0.750 W
0.667 0.333 0.250 W
```

## Properties
The total magnetization is 1.428 μB per formula unit. The value obtained for the theoretical density is 12.42 g/cm³. The value obtained for the formation enthalpy at 0 K is 0.065 eV per atom.

[6]
The following is a DFT calculation (PBE) of crystalline FeW2 at its relaxed geometry.

Structure (POSCAR):
```
FeW2
1.0
-1.906 1.906 11.946
1.906 -1.906 11.946
1.906 1.906 -11.946
Fe W
4 8
Direct
0.287 0.537 0.750 Fe
0.463 0.713 0.750 Fe
0.537 0.287 0.250 Fe
0.713 0.463 0.250 Fe
0.038 0.788 0.250 W
0.123 0.373 0.750 W
0.212 0.962 0.250 W
0.373 0.123 0.250 W
0.627 0.877 0.750 W
0.788 0.038 0.750 W
0.877 0.627 0.250 W
0.962 0.212 0.750 W
```

## Properties
As for the energy above the most stable polymorph in this dataset: 61 kJ/mol of formula units. The total magnetization is 0.562 μB per formula unit. The value obtained for the theoretical density is 16.20 g/cm³. The value obtained for the formation enthalpy at 0 K is 0.275 eV per atom.

[7]
The following is a DFT calculation (PBE) of crystalline Fe3W at its relaxed geometry.

Structure (POSCAR):
```
Fe3W
1.0
4.525 0.000 0.000
0.000 8.190 0.000
0.000 0.000 5.117
Fe W
12 4
Direct
0.083 0.250 0.115 Fe
0.222 0.505 0.862 Fe
0.222 0.995 0.862 Fe
0.278 0.005 0.362 Fe
0.278 0.495 0.362 Fe
0.417 0.750 0.615 Fe
0.583 0.250 0.385 Fe
0.722 0.505 0.638 Fe
0.722 0.995 0.638 Fe
0.778 0.005 0.138 Fe
0.778 0.495 0.138 Fe
0.917 0.750 0.885 Fe
0.073 0.250 0.601 W
0.427 0.750 0.101 W
0.573 0.250 0.899 W
0.927 0.750 0.399 W
```

## Properties
The total magnetization is 0.005 μB per formula unit. The value obtained for the theoretical density is 12.31 g/cm³. The value obtained for the formation enthalpy at 0 K is 0.176 eV per atom.

[8]
The following is a DFT calculation (PBE) of crystalline FeW2 at its relaxed geometry.

Structure (POSCAR):
```
FeW2
1.0
4.098 0.000 0.000
0.000 4.098 0.000
0.000 0.000 2.887
Fe W
1 2
Direct
0.000 0.000 0.000 Fe
0.000 0.500 0.500 W
0.500 0.000 0.500 W
```

## Properties
As for the energy above the most stable polymorph in this dataset: 237 kJ/mol of formula units. The total magnetization is 0.659 μB per formula unit. The value obtained for the theoretical density is 14.50 g/cm³. The value obtained for the formation enthalpy at 0 K is 0.881 eV per atom.

[9]
The following is a DFT calculation (PBE) of crystalline FeW5 at its relaxed geometry.

Structure (POSCAR):
```
FeW5
1.0
2.701 0.000 0.000
0.000 2.701 0.000
0.000 0.000 12.703
Fe W
1 5
Direct
0.000 0.000 0.000 Fe
0.000 0.000 0.319 W
0.000 0.000 0.681 W
0.500 0.500 0.139 W
0.500 0.500 0.500 W
0.500 0.500 0.861 W
```

## Properties
As for the energy above the most stable polymorph in this dataset: 99 kJ/mol of formula units. The total magnetization is 0.000 μB per formula unit. The value obtained for the theoretical density is 17.47 g/cm³. The value obtained for the formation enthalpy at 0 K is 0.265 eV per atom.

[10]
The following is a DFT calculation (PBE) of crystalline FeW4 at its relaxed geometry.

Structure (POSCAR):
```
FeW4
1.0
-3.487 3.487 1.583
3.487 -3.487 1.583
3.487 3.487 -1.583
Fe W
1 4
Direct
0.000 0.000 0.000 Fe
0.203 0.400 0.603 W
0.400 0.797 0.197 W
0.600 0.203 0.803 W
0.797 0.600 0.397 W
```

## Properties
As for the energy above the most stable polymorph in this dataset: 0 kJ/mol of formula units. The total magnetization is 2.367 μB per formula unit. The value obtained for the theoretical density is 17.06 g/cm³. The value obtained for the formation enthalpy at 0 K is 0.132 eV per atom.

[11]
The following is a DFT calculation (PBE) of crystalline Fe3W at its relaxed geometry.

Structure (POSCAR):
```
Fe3W
1.0
1.515 -2.100 0.000
1.515 2.100 0.000
0.000 0.000 8.116
Fe W
3 1
Direct
0.000 0.000 0.000 Fe
0.500 0.500 0.238 Fe
0.500 0.500 0.762 Fe
0.000 0.000 0.500 W
```

## Properties
The total magnetization is 6.646 μB per formula unit. The value obtained for the theoretical density is 11.30 g/cm³. The value obtained for the formation enthalpy at 0 K is 0.101 eV per atom.

[12]
The following is a DFT calculation (PBE) of crystalline FeW5 at its relaxed geometry.

Structure (POSCAR):
```
FeW5
1.0
5.238 0.000 0.000
-2.619 4.536 0.000
0.000 0.000 4.554
Fe W
1 5
Direct
0.000 0.000 0.000 Fe
0.000 0.500 0.500 W
0.333 0.667 0.000 W
0.500 0.000 0.500 W
0.500 0.500 0.500 W
0.667 0.333 0.000 W
```

## Properties
As for the energy above the most stable polymorph in this dataset: 442 kJ/mol of formula units. The total magnetization is 3.086 μB per formula unit. The value obtained for the theoretical density is 14.96 g/cm³. The value obtained for the formation enthalpy at 0 K is 0.857 eV per atom.

[13]
The following is a DFT calculation (PBE) of crystalline Fe4W3 at its relaxed geometry.

Structure (POSCAR):
```
Fe4W3
1.0
5.052 0.000 0.000
-2.526 4.375 0.000
0.000 0.000 4.647
Fe W
4 3
Direct
0.000 0.000 0.233 Fe
0.000 0.000 0.767 Fe
0.333 0.667 0.000 Fe
0.667 0.333 0.000 Fe
0.000 0.500 0.500 W
0.500 0.000 0.500 W
0.500 0.500 0.500 W
```

## Properties
As for the energy above the most stable polymorph in this dataset: 246 kJ/mol of formula units. The total magnetization is 8.167 μB per formula unit. The value obtained for the theoretical density is 12.53 g/cm³. The value obtained for the formation enthalpy at 0 K is 0.468 eV per atom.